Density functional theory data (PBE) for a relaxed structure of TbErAu2.

Cell lengths 3.5728, 3.5728, 7.2541 Å; angles 90.00, 90.00, 90.00 degrees
Closest atoms and distances in Å follow each position.
Atoms (fractional coordinates):
Tb 0.0000 0.0000 0.0000  8 Au 3.15
Er 0.0000 0.0000 0.5000  8 Au 3.07
Au 0.5000 0.5000 0.2589  4 Er 3.07, 4 Tb 3.15
Au 0.5000 0.5000 0.7411  4 Er 3.07, 4 Tb 3.15

## Properties
mass density = 12.91 g/cm3
VASP energy = -4.802 eV/atom
calculated formation energy = -865 meV/atom